--- w ---
VASP calculation (GGA-PBE) on a relaxed HgSbP2 crystal.

```
8
Lattice="3.1804 0.0000 0.0000 0.0000 5.4839 0.0000 0.0000 0.0000 11.9270" Properties=species:S:1:pos:R:3 pbc="T T T"
Hg 0.0000 0.0000 0.0000
Hg 1.5902 2.7419 0.0000
Sb 0.0000 2.7419 8.8045
Sb 1.5902 0.0000 8.8045
P 0.0000 0.0000 4.9738
P 0.0000 2.7419 3.4924
P 1.5902 0.0000 3.4924
P 1.5902 2.7419 4.9738
```

Properties
Space group ... Cmm2, No. 35


--- x ---
VASP calculation (GGA-PBE) on a relaxed HgSbP2 crystal.

```
4
Lattice="4.8231 0.0000 0.0000 0.0000 4.8231 0.0000 0.0000 0.0000 3.4823" Properties=species:S:1:pos:R:3 pbc="T T T"
Hg 0.0000 0.0000 0.0000
Sb 2.4116 2.4116 0.0000
P 0.0000 2.4116 1.7411
P 2.4116 0.0000 1.7411
```

Properties
Space group ... P4/mmm, No. 123


--- y ---
VASP calculation (GGA-PBE) on a relaxed HgSbP2 crystal.

```
8
Lattice="3.6557 0.0000 0.0000 0.0000 4.7401 0.0000 0.0000 0.0000 9.8571" Properties=species:S:1:pos:R:3 pbc="T T T"
Hg 0.0000 0.0000 0.0000
Hg 1.8279 2.3701 4.9286
Sb 0.0000 0.0000 4.9286
Sb 1.8279 2.3701 0.0000
P 0.0000 2.3701 2.1126
P 0.0000 2.3701 7.7445
P 1.8279 0.0000 2.8160
P 1.8279 0.0000 7.0411
```

Properties
Space group ... Immm, No. 71


Energies, relative to the best one, in meV/atom: w 0; x 208; y 233.


--- w ---
VASP calculation (GGA-PBE) on a relaxed HgSb2P crystal.

```
8
Lattice="3.7114 0.0000 0.0000 0.0000 4.3310 0.0000 0.0000 0.0000 12.8142" Properties=species:S:1:pos:R:3 pbc="T T T"
Hg 0.0000 0.0000 0.0000
Hg 1.8557 2.1655 6.4071
Sb 0.0000 0.0000 7.8911
Sb 0.0000 2.1655 10.3850
Sb 1.8557 0.0000 3.9779
Sb 1.8557 2.1655 1.4840
P 0.0000 2.1655 3.5007
P 1.8557 0.0000 9.9078
```

Properties
Space group ... Imm2, No. 44


--- x ---
VASP calculation (GGA-PBE) on a relaxed HgSb2P crystal.

```
16
Lattice="6.2844 0.0000 0.0000 0.0000 6.2844 0.0000 0.0000 0.0000 13.1160" Properties=species:S:1:pos:R:3 pbc="T T T"
Hg 0.0000 0.0000 0.0000
Hg 0.0000 3.1422 3.2790
Hg 3.1422 0.0000 9.8370
Hg 3.1422 3.1422 6.5580
Sb 1.3887 1.5711 8.1975
Sb 1.5711 4.5309 11.4765
Sb 1.5711 4.8957 4.9185
Sb 1.7535 1.5711 1.6395
Sb 4.5309 4.7133 1.6395
Sb 4.7133 1.3887 4.9185
Sb 4.7133 1.7535 11.4765
Sb 4.8957 4.7133 8.1975
P 0.0000 0.0000 6.5580
P 0.0000 3.1422 9.8370
P 3.1422 0.0000 3.2790
P 3.1422 3.1422 0.0000
```

Properties
Space group ... I-42d, No. 122


--- y ---
VASP calculation (GGA-PBE) on a relaxed HgSb2P crystal.

```
8
Lattice="3.6495 0.0000 0.0000 0.0000 5.5120 0.0000 0.0000 0.0000 9.8127" Properties=species:S:1:pos:R:3 pbc="T T T"
Hg 0.0000 0.0000 0.0000
Hg 1.8247 2.7560 0.0000
Sb 0.0000 0.0000 4.2874
Sb 0.0000 2.7560 7.1586
Sb 1.8247 0.0000 7.1586
Sb 1.8247 2.7560 4.2874
P 0.0000 2.7560 2.3698
P 1.8247 0.0000 2.3698
```

Properties
Space group ... Cmm2, No. 35


--- z ---
VASP calculation (GGA-PBE) on a relaxed HgSb2P crystal.

```
16
Lattice="7.2034 0.0000 0.0000 0.0000 7.2034 0.0000 0.0000 0.0000 7.2034" Properties=species:S:1:pos:R:3 pbc="T T T"
Hg 0.0000 0.0000 0.0000
Hg 0.0000 3.6017 3.6017
Hg 3.6017 0.0000 3.6017
Hg 3.6017 3.6017 0.0000
Sb 1.8008 1.8008 1.8008
Sb 1.8008 1.8008 5.4025
Sb 1.8008 5.4025 1.8008
Sb 1.8008 5.4025 5.4025
Sb 5.4025 1.8008 1.8008
Sb 5.4025 1.8008 5.4025
Sb 5.4025 5.4025 1.8008
Sb 5.4025 5.4025 5.4025
P 0.0000 0.0000 3.6017
P 0.0000 3.6017 0.0000
P 3.6017 0.0000 0.0000
P 3.6017 3.6017 3.6017
```

Properties
Space group ... Fm-3m, No. 225


Energies, relative to the best one, in meV/atom: w 7; x 0; y 122; z 156.


--- w ---
VASP calculation (GGA-PBE) on a relaxed HgSb2P crystal.

```
16
Lattice="7.2525 0.0000 0.0000 0.0000 7.2525 0.0000 0.0000 0.0000 7.2525" Properties=species:S:1:pos:R:3 pbc="T T T"
Hg 0.0000 0.0000 0.0000
Hg 0.0000 3.6262 3.6262
Hg 3.6262 0.0000 3.6262
Hg 3.6262 3.6262 0.0000
Sb 0.0000 0.0000 3.6262
Sb 0.0000 3.6262 0.0000
Sb 1.8131 1.8131 5.4393
Sb 1.8131 5.4393 1.8131
Sb 3.6262 0.0000 0.0000
Sb 3.6262 3.6262 3.6262
Sb 5.4393 1.8131 1.8131
Sb 5.4393 5.4393 5.4393
P 1.8131 1.8131 1.8131
P 1.8131 5.4393 5.4393
P 5.4393 1.8131 5.4393
P 5.4393 5.4393 1.8131
```

Properties
Space group ... F-43m, No. 216


--- x ---
VASP calculation (GGA-PBE) on a relaxed HgSb2P crystal.

```
12
Lattice="3.8501 0.0000 0.0000 -1.9251 3.3343 0.0000 0.0000 0.0000 23.3630" Properties=species:S:1:pos:R:3 pbc="T T T"
Hg 0.0000 0.0000 0.0000
Hg 0.0000 2.2229 15.5754
Hg 1.9251 1.1114 7.7877
Sb 0.0000 0.0000 13.3779
Sb 0.0000 0.0000 17.7860
Sb 0.0000 2.2229 5.5902
Sb 0.0000 2.2229 9.9983
Sb 1.9251 1.1114 2.2107
Sb 1.9251 1.1114 21.1655
P 0.0000 0.0000 3.9669
P 0.0000 2.2229 19.5422
P 1.9251 1.1114 11.7546
```

Properties
Space group ... R3m, No. 160


--- y ---
VASP calculation (GGA-PBE) on a relaxed HgSb2P crystal.

```
4
Lattice="5.7844 0.0000 0.0000 0.0000 5.7844 0.0000 0.0000 0.0000 3.0637" Properties=species:S:1:pos:R:3 pbc="T T T"
Hg 0.0000 0.0000 0.0000
Sb 0.0000 2.8922 0.0000
Sb 2.8922 0.0000 0.0000
P 2.8922 2.8922 0.0000
```

Properties
Space group ... P4/mmm, No. 123


--- z ---
VASP calculation (GGA-PBE) on a relaxed HgSb2P crystal.

```
4
Lattice="3.8825 0.0000 0.0000 0.0000 3.8825 0.0000 0.0000 0.0000 7.6293" Properties=species:S:1:pos:R:3 pbc="T T T"
Hg 0.0000 0.0000 0.0000
Sb 0.0000 0.0000 3.3889
Sb 1.9412 1.9412 5.3246
P 1.9412 1.9412 2.7759
```

Properties
Space group ... P4mm, No. 99


Energies, relative to the best one, in meV/atom: w 255; x 0; y 65; z 73.


--- w ---
VASP calculation (GGA-PBE) on a relaxed HgSb2P crystal.

```
8
Lattice="3.6259 0.0000 0.0000 0.0000 5.8744 0.0000 0.0000 0.0000 9.3495" Properties=species:S:1:pos:R:3 pbc="T T T"
Hg 0.0000 0.0000 0.0000
Hg 1.8130 2.9372 4.6748
Sb 0.0000 2.9372 1.9903
Sb 0.0000 2.9372 7.3592
Sb 1.8130 0.0000 2.6845
Sb 1.8130 0.0000 6.6651
P 0.0000 0.0000 4.6748
P 1.8130 2.9372 0.0000
```

Properties
Space group ... Immm, No. 71


--- x ---
VASP calculation (GGA-PBE) on a relaxed HgSb2P crystal.

```
4
Lattice="3.6144 0.0000 0.0000 0.0000 3.6144 0.0000 0.0000 0.0000 7.9776" Properties=species:S:1:pos:R:3 pbc="T T T"
Hg 0.0000 0.0000 0.0000
Sb 1.8072 1.8072 2.5400
Sb 1.8072 1.8072 5.4376
P 0.0000 0.0000 3.9888
```

Properties
Space group ... P4/mmm, No. 123


--- y ---
VASP calculation (GGA-PBE) on a relaxed HgSb2P crystal.

```
12
Lattice="3.6768 0.0000 0.0000 -1.8384 3.1842 0.0000 0.0000 0.0000 26.2260" Properties=species:S:1:pos:R:3 pbc="T T T"
Hg 0.0000 0.0000 0.0000
Hg 0.0000 2.1228 17.4840
Hg 1.8384 1.0614 8.7420
Sb 0.0000 0.0000 6.1218
Sb 0.0000 0.0000 20.1042
Sb 0.0000 2.1228 11.3622
Sb 0.0000 2.1228 23.6058
Sb 1.8384 1.0614 2.6202
Sb 1.8384 1.0614 14.8638
P 0.0000 0.0000 13.1130
P 0.0000 2.1228 4.3710
P 1.8384 1.0614 21.8550
```

Properties
Space group ... R-3m, No. 166


Energies, relative to the best one, in meV/atom: w 187; x 133; y 0.


--- w ---
VASP calculation (GGA-PBE) on a relaxed HgSb2P crystal.

```
4
Lattice="5.0380 0.0000 0.0000 0.0000 5.0380 0.0000 0.0000 0.0000 3.6970" Properties=species:S:1:pos:R:3 pbc="T T T"
Hg 0.0000 0.0000 0.0000
Sb 0.0000 2.5190 1.8485
Sb 2.5190 0.0000 1.8485
P 2.5190 2.5190 0.0000
```

Properties
Space group ... P4/mmm, No. 123


--- x ---
VASP calculation (GGA-PBE) on a relaxed HgSb2P crystal.

```
4
Lattice="3.1044 0.0000 0.0000 0.0000 5.6841 0.0000 -1.1332 0.0000 5.9613" Properties=species:S:1:pos:R:3 pbc="T T T"
Hg 0.0000 0.0000 0.0000
Sb -0.3424 0.0000 3.0988
Sb 2.8366 2.8421 0.5524
P -0.3062 2.8421 3.0849
```

Properties
Space group ... Pm, No. 6


Energies, relative to the best one, in meV/atom: w 216; x 0.


--- w ---
VASP calculation (GGA-PBE) on a relaxed HgSb2P crystal.

```
8
Lattice="3.6151 0.0000 0.0000 0.0000 5.3737 0.0000 0.0000 0.0000 10.1787" Properties=species:S:1:pos:R:3 pbc="T T T"
Hg 0.0000 0.0000 0.0000
Hg 1.8076 2.6869 0.0000
Sb 0.0000 2.6869 2.9726
Sb 0.0000 2.6869 7.2061
Sb 1.8076 0.0000 2.9726
Sb 1.8076 0.0000 7.2061
P 0.0000 0.0000 5.0894
P 1.8076 2.6869 5.0894
```

Properties
Space group ... Cmmm, No. 65


--- x ---
VASP calculation (GGA-PBE) on a relaxed HgSb2P crystal.

```
8
Lattice="10.5539 0.0000 0.0000 0.0000 3.5848 0.0000 -1.4064 0.0000 5.8501" Properties=species:S:1:pos:R:3 pbc="T T T"
Hg 0.0000 0.0000 0.0000
Hg 5.2769 1.7924 0.0000
Sb 1.4901 0.0000 4.0444
Sb 4.4179 0.0000 2.6341
Sb 6.7670 1.7924 4.0444
Sb 9.6948 1.7924 2.6341
P 2.3680 1.7924 2.2592
P 7.6449 0.0000 2.2592
```

Properties
Space group ... Cm, No. 8


--- y ---
VASP calculation (GGA-PBE) on a relaxed HgSb2P crystal.

```
4
Lattice="3.0348 0.0000 0.0000 0.0000 4.0038 0.0000 -0.0377 0.0000 8.4811" Properties=species:S:1:pos:R:3 pbc="T T T"
Hg 0.0000 0.0000 0.0000
Sb -0.0196 2.0019 6.1331
Sb 3.0166 2.0019 2.3480
P -0.0189 0.0000 4.2405
```

Properties
Space group ... P2/m, No. 10


--- z ---
VASP calculation (GGA-PBE) on a relaxed HgSb2P crystal.

```
4
Lattice="3.8690 0.0000 0.0000 0.0000 4.5308 0.0000 0.0000 0.0000 5.4881" Properties=species:S:1:pos:R:3 pbc="T T T"
Hg 0.0000 0.0000 0.0000
Sb 0.0000 2.2654 2.7440
Sb 1.9345 2.2654 0.0000
P 1.9345 0.0000 2.7440
```

Properties
Space group ... Pmmm, No. 47


Energies, relative to the best one, in meV/atom: w 149; x 97; y 0; z 250.


--- w ---
VASP calculation (GGA-PBE) on a relaxed HgSb2P2 crystal.

```
10
Lattice="4.7184 0.0000 0.0000 0.0000 4.7184 0.0000 0.0000 0.0000 13.2867" Properties=species:S:1:pos:R:3 pbc="T T T"
Hg 0.0000 0.0000 0.0000
Hg 2.3592 2.3592 6.6433
Sb 0.0000 0.0000 4.5901
Sb 0.0000 0.0000 8.6966
Sb 2.3592 2.3592 2.0533
Sb 2.3592 2.3592 11.2334
P 0.0000 2.3592 3.3217
P 0.0000 2.3592 9.9650
P 2.3592 0.0000 3.3217
P 2.3592 0.0000 9.9650
```

Properties
Space group ... I4/mmm, No. 139


--- x ---
VASP calculation (GGA-PBE) on a relaxed HgSb2P2 crystal.

```
10
Lattice="5.3716 0.0000 0.0000 0.0000 5.3716 0.0000 0.0000 0.0000 8.2732" Properties=species:S:1:pos:R:3 pbc="T T T"
Hg 0.0000 0.0000 0.0000
Hg 2.6858 2.6858 4.1366
Sb 0.0000 2.6858 2.0683
Sb 0.0000 2.6858 6.2049
Sb 2.6858 0.0000 2.0683
Sb 2.6858 0.0000 6.2049
P 0.0000 0.0000 3.0170
P 0.0000 0.0000 5.2562
P 2.6858 2.6858 1.1196
P 2.6858 2.6858 7.1536
```

Properties
Space group ... I4/mmm, No. 139


--- y ---
VASP calculation (GGA-PBE) on a relaxed HgSb2P2 crystal.

```
10
Lattice="8.0231 0.0000 0.0000 0.0000 8.0231 0.0000 0.0000 0.0000 3.7170" Properties=species:S:1:pos:R:3 pbc="T T T"
Hg 0.0000 0.0000 0.0000
Hg 4.0115 4.0115 0.0000
Sb 1.2436 2.7679 1.8585
Sb 2.7679 6.7795 1.8585
Sb 5.2551 1.2436 1.8585
Sb 6.7795 5.2551 1.8585
P 1.4914 5.5030 0.0000
P 2.5201 1.4914 0.0000
P 5.5030 6.5316 0.0000
P 6.5316 2.5201 0.0000
```

Properties
Space group ... P4/mbm, No. 127


Energies, relative to the best one, in meV/atom: w 0; x 30; y 120.


--- w ---
VASP calculation (GGA-PBE) on a relaxed HgSb3P crystal.

```
5
Lattice="5.2699 0.0000 0.0000 0.0000 5.2699 0.0000 0.0000 0.0000 5.2699" Properties=species:S:1:pos:R:3 pbc="T T T"
Hg 0.0000 0.0000 0.0000
Sb 0.0000 2.6349 2.6349
Sb 2.6349 0.0000 2.6349
Sb 2.6349 2.6349 0.0000
P 2.6349 2.6349 2.6349
```

Properties
Space group ... Pm-3m, No. 221


--- x ---
VASP calculation (GGA-PBE) on a relaxed HgSb3P crystal.

```
5
Lattice="5.4899 0.0000 0.0000 0.0000 5.4899 0.0000 0.0000 0.0000 5.4899" Properties=species:S:1:pos:R:3 pbc="T T T"
Hg 0.0000 0.0000 0.0000
Sb 0.0000 0.0000 2.7449
Sb 0.0000 2.7449 0.0000
Sb 2.7449 0.0000 0.0000
P 2.7449 2.7449 2.7449
```

Properties
Space group ... Pm-3m, No. 221


Energies, relative to the best one, in meV/atom: w 0; x 686.